No. 1
The following is a GGA-PBEsol calculation of a relaxed LiCu crystal, from Alexandria via LeMat-Bulk.

Lattice parameters (Å, degrees): 2.5840 2.5840 8.7754 90.00 90.00 120.00
Space group P-3m1 (No. 164)
One atom of each set of equivalent atoms:
1 Li 0.3333 0.6667 0.1464 x2
2 Cu 0.3333 0.6667 0.6156 x2

Values from the calculation:
energy of formation from the pure elements = 4.9 kJ per mole of atoms


No. 2
The following is a GGA-PBEsol calculation of a relaxed ZnPO2F crystal, from Alexandria via LeMat-Bulk.

Lattice parameters (Å, degrees): 4.3239 4.3239 3.3125 90.00 90.00 90.00
Space group P4/mmm (No. 123)
One atom of each set of equivalent atoms:
1 Zn 0.0000 0.0000 0.0000 x1
2 P 0.5000 0.5000 0.0000 x1
3 O 0.0000 0.5000 0.5000 x2
4 F 0.5000 0.5000 0.5000 x1

Values from the calculation:
formation energy without anion corrections = 0.6738 eV per atom


No. 3
The following is a GGA-PBEsol calculation of a relaxed Rb3FeF6 crystal, from Alexandria via LeMat-Bulk.

Lattice parameters (Å, degrees): 8.8695 8.8695 8.8695 90.00 90.00 90.00
Space group Fm-3m (No. 225)
One atom of each set of equivalent atoms:
1 Rb 0.0000 0.0000 0.0000 x4
2 Rb 0.2500 0.2500 0.2500 x8
3 Fe 0.0000 0.0000 0.5000 x4
4 F 0.0000 0.0000 0.2906 x24

Values from the calculation:
formation energy without anion corrections = -2.4814 eV per atom


No. 4
The following is a GGA-PBEsol calculation of a relaxed TaAlOs2 crystal, from Alexandria via LeMat-Bulk.

Lattice parameters (Å, degrees): 3.1014 3.1014 6.0790 90.00 90.00 90.00
Space group P4/mmm (No. 123)
One atom of each set of equivalent atoms:
1 Ta 0.0000 0.0000 0.0000 x1
2 Al 0.0000 0.0000 0.5000 x1
3 Os 0.5000 0.5000 0.2560 x2

Values from the calculation:
energy of formation from the pure elements = -48.0 kJ per mole of atoms
ΔE to the lowest computed polymorph = 38.8 meV/atom


No. 5
The following is a GGA-PBEsol calculation of a relaxed CaInAu2 crystal, from Alexandria via LeMat-Bulk.

Lattice parameters (Å, degrees): 3.5438 3.5438 6.6991 90.00 90.00 90.00
Space group P4/mmm (No. 123)
One atom of each set of equivalent atoms:
1 Ca 0.0000 0.0000 0.0000 x1
2 In 0.0000 0.0000 0.5000 x1
3 Au 0.5000 0.5000 0.2644 x2

Values from the calculation:
energy of formation from the pure elements = -49.4 kJ per mole of atoms


No. 6
The following is a GGA-PBEsol calculation of a relaxed ReGeP2O crystal, from Alexandria via LeMat-Bulk.

Lattice parameters (Å, degrees): 4.6982 4.6982 3.4177 90.00 90.00 90.00
Space group P4/mmm (No. 123)
One atom of each set of equivalent atoms:
1 Re 0.0000 0.0000 0.0000 x1
2 Ge 0.5000 0.5000 0.5000 x1
3 P 0.0000 0.5000 0.5000 x2
4 O 0.5000 0.5000 0.0000 x1

Values from the calculation:
formation energy without anion corrections = 0.8157 eV per atom
ΔE to the lowest computed polymorph = 850.2 meV/atom


No. 7
The following is a GGA-PBEsol calculation of a relaxed MnTe2PdI crystal, from Alexandria via LeMat-Bulk.

Lattice parameters (Å, degrees): 5.8432 5.8432 4.8277 90.00 90.00 90.00
Space group P4/mmm (No. 123)
One atom of each set of equivalent atoms:
1 Mn 0.0000 0.0000 0.0000 x1
2 Te 0.0000 0.5000 0.5000 x2
3 Pd 0.5000 0.5000 0.0000 x1
4 I 0.5000 0.5000 0.5000 x1

Values from the calculation:
formation energy without anion corrections = 1.1102 eV per atom


No. 8
The following is a GGA-PBEsol calculation of a relaxed KTlSb2 crystal, from Alexandria via LeMat-Bulk.

Lattice parameters (Å, degrees): 4.1244 5.4715 11.5812 90.00 90.00 90.00
Space group Imm2 (No. 44)
One atom of each set of equivalent atoms:
1 K 0.0000 0.0000 0.0000 x2
2 Tl 0.0000 0.5000 0.2313 x2
3 Sb 0.0000 0.0000 0.4252 x2
4 Sb 0.0000 0.5000 0.7529 x2

Values from the calculation:
formation energy without anion corrections = -0.1566 eV per atom
ΔE to the lowest computed polymorph = 1.9 meV/atom


no.,DFT total energy (eV per atom)
1,-3.10
2,-3.29
3,-4.84
4,-10.77
5,-3.75
6,-6.20
7,-3.80
8,-3.38